# 1
This record from Alexandria via LeMat-Bulk describes Fe2TcMo after structural relaxation. The functional is PBE.

## Properties
Total energy (eV/f.u.): -37.51
Energy relative to the elements (eV per atom): 0.152

a = 4.239 Å, b = 4.239 Å, c = 4.239 Å
α = 60.00°, β = 60.00°, γ = 60.00°
Fractional coordinates of all 4 atoms:
Fe (0.250, 0.250, 0.250)
Fe (0.750, 0.750, 0.750)
Tc (0.000, 0.000, 0.000)
Mo (0.500, 0.500, 0.500)

=====

# 2
This record from Alexandria via LeMat-Bulk describes FeTcMo2 after structural relaxation. The functional is PBE.

## Properties
Total energy (eV/f.u.): -39.81
Energy relative to the elements (eV per atom): 0.169

a = 4.691 Å, b = 4.691 Å, c = 4.691 Å
α = 130.73°, β = 130.73°, γ = 72.24°
Fractional coordinates of all 4 atoms:
Fe (0.000, 0.000, 0.000)
Tc (0.500, 0.500, 0.000)
Mo (0.250, 0.750, 0.500)
Mo (0.750, 0.250, 0.500)

=====

# 3
This record from Alexandria via LeMat-Bulk describes Fe2Tc2Mo after structural relaxation. The functional is PBE.

## Properties
Total energy (eV/f.u.): -47.44
Energy relative to the elements (eV per atom): 0.209

a = 7.155 Å, b = 7.155 Å, c = 2.632 Å
α = 90.00°, β = 90.00°, γ = 90.00°
Fractional coordinates of all 10 atoms:
Fe (0.169, 0.331, 0.000)
Fe (0.331, 0.831, 0.000)
Fe (0.669, 0.169, 0.000)
Fe (0.831, 0.669, 0.000)
Tc (0.127, 0.627, 0.500)
Tc (0.373, 0.127, 0.500)
Tc (0.627, 0.873, 0.500)
Tc (0.873, 0.373, 0.500)
Mo (0.000, 0.000, 0.500)
Mo (0.500, 0.500, 0.500)

=====

# 4
This record from Alexandria via LeMat-Bulk describes Fe2TcMo after structural relaxation. The functional is PBE.

## Properties
Total energy (eV/f.u.): -37.67
Energy relative to the elements (eV per atom): 0.114

a = 3.741 Å, b = 3.741 Å, c = 3.681 Å
α = 90.00°, β = 90.00°, γ = 90.00°
Fractional coordinates of all 4 atoms:
Fe (0.000, 0.500, 0.000)
Fe (0.500, 0.000, 0.000)
Tc (0.000, 0.000, 0.500)
Mo (0.500, 0.500, 0.500)

=====

# 5
This record from Alexandria via LeMat-Bulk describes Fe2TcMo after structural relaxation. The functional is PBE.

## Properties
Total energy (eV/f.u.): -37.11
Energy relative to the elements (eV per atom): 0.253

a = 8.819 Å, b = 8.819 Å, c = 8.819 Å
α = 17.37°, β = 17.37°, γ = 17.37°
Fractional coordinates of all 4 atoms:
Fe (0.248, 0.248, 0.248)
Fe (0.752, 0.752, 0.752)
Tc (0.500, 0.500, 0.500)
Mo (0.000, 0.000, 0.000)

=====

# 6
This record from Alexandria via LeMat-Bulk describes FeTcMo2 after structural relaxation. The functional is PBE.

## Properties
Total energy (eV/f.u.): -39.46
Energy relative to the elements (eV per atom): 0.258

a = 9.036 Å, b = 9.036 Å, c = 9.036 Å
α = 17.54°, β = 17.54°, γ = 17.54°
Fractional coordinates of all 4 atoms:
Fe (0.000, 0.000, 0.000)
Tc (0.500, 0.500, 0.500)
Mo (0.252, 0.252, 0.252)
Mo (0.748, 0.748, 0.748)

=====

# 7
This record from Alexandria via LeMat-Bulk describes FeTcMo2 after structural relaxation. The functional is PBE.

## Properties
Total energy (eV/f.u.): -39.94
Energy relative to the elements (eV per atom): 0.137

a = 2.668 Å, b = 2.668 Å, c = 8.215 Å
α = 90.00°, β = 90.00°, γ = 101.40°
Fractional coordinates of all 4 atoms:
Fe (0.000, 0.000, 0.000)
Tc (0.500, 0.500, 0.787)
Mo (0.000, 0.000, 0.515)
Mo (0.500, 0.500, 0.236)

=====

# 8
This record from Alexandria via LeMat-Bulk describes FeTcMo2 after structural relaxation. The functional is PBE.

## Properties
Total energy (eV/f.u.): -40.07
Energy relative to the elements (eV per atom): 0.106

a = 2.674 Å, b = 2.674 Å, c = 8.603 Å
α = 90.00°, β = 90.00°, γ = 108.43°
Fractional coordinates of all 4 atoms:
Fe (0.000, 0.000, 0.000)
Tc (0.000, 0.000, 0.500)
Mo (0.500, 0.500, 0.241)
Mo (0.500, 0.500, 0.759)